First-principles (PBE) data for a relaxed structure of CeNdTeSe, as listed in Alexandria via LeMat-Bulk.

Unit cell a=4.3270 b=4.3270 c=21.6706 alpha=90.00 beta=90.00 gamma=120.00
Space group R3m (No. 160, hexagonal axes)
One atom of each set of equivalent atoms:
Ce 0.0000 0.0000 0.0000 [3 per cell]
Nd 0.0000 0.0000 0.4821 [3 per cell]
Te 0.0000 0.0000 0.2416 [3 per cell]
Se 0.0000 0.0000 0.7410 [3 per cell]

ΔE_f (raw): -6.47 eV per formula unit
Mass density: 6.96 g cm⁻³